(1)
A plane-wave DFT calculation with PBE was carried out for Tl3CuTe2O8 after structural relaxation.

Results
Energy relative to the elements, uncorrected (eV/atom): -0.72
V (A^3/atom): 17.9
SG: P-3m1, No. 164

abc: 6.090 6.090 7.813
angles: 90.00 90.00 120.00
Fractional positions:
Te  0.667  0.333  0.753
O  0.333  0.667  0.010
O  0.835  0.670  0.673
O  0.835  0.165  0.673
O  0.667  0.333  0.990
Tl  0.333  0.667  0.687
Cu  0.000  0.000  0.500
O  0.165  0.330  0.327
Tl  0.000  0.000  0.000
O  0.165  0.835  0.327
Tl  0.667  0.333  0.313
O  0.670  0.835  0.327
O  0.330  0.165  0.673
Te  0.333  0.667  0.247

***

(2)
A plane-wave DFT calculation with PBE was carried out for Tm2CuTeO6 after structural relaxation.

Results
Energy relative to the elements, uncorrected (eV/atom): -2.13
V (A^3/atom): 13.4
SG: P1, No. 1

abc: 5.595 5.592 5.919
angles: 61.85 61.86 59.97
Fractional positions:
O  0.603  0.209  0.250
Te  0.317  0.317  0.049
O  0.121  0.421  0.760
Tm  0.525  0.525  0.426
O  0.939  0.602  0.249
O  0.421  0.698  0.760
O  0.698  0.121  0.760
O  0.211  0.939  0.248
Cu  0.806  0.808  0.578
Tm  0.022  0.022  0.934

***

(3)
A plane-wave DFT calculation with PBE was carried out for UCu2TeO8 after structural relaxation.

Results
Energy relative to the elements, uncorrected (eV/atom): -1.30
V (A^3/atom): 12.3
SG: I-4m2, No. 119

abc: 5.773 5.773 5.773
angles: 111.23 111.23 106.01
Fractional positions:
Te  0.250  0.750  0.500
O  0.297  0.101  0.804
O  0.720  0.035  0.685
Cu  0.500  0.500  0.000
O  0.899  0.703  0.196
O  0.350  0.035  0.315
O  0.508  0.703  0.804
U  0.000  0.000  0.000
O  0.297  0.492  0.196
Cu  0.750  0.250  0.500
O  0.965  0.650  0.685
O  0.965  0.280  0.315

***

(4)
A plane-wave DFT calculation with PBE was carried out for UCuTeO6 after structural relaxation.

Results
Energy relative to the elements, uncorrected (eV/atom): -1.60
V (A^3/atom): 13.5
SG: P-31c, No. 163

abc: 5.579 5.579 9.003
angles: 90.00 90.00 120.00
Fractional positions:
O  0.656  0.995  0.370
U  0.667  0.333  0.750
O  0.656  0.661  0.130
O  0.339  0.995  0.130
Cu  0.000  0.000  0.500
Te  0.667  0.333  0.250
Cu  0.000  0.000  0.000
O  0.344  0.005  0.630
O  0.661  0.656  0.630
U  0.333  0.667  0.250
O  0.339  0.344  0.370
O  0.005  0.661  0.370
O  0.661  0.005  0.870
O  0.995  0.656  0.870
O  0.005  0.344  0.130
Te  0.333  0.667  0.750
O  0.344  0.339  0.870
O  0.995  0.339  0.630

***

Question: The lowest V belongs to which entry?
Answer: UCu2TeO8